(1)
# Ba5Sc6O14 | Alexandria via LeMat-Bulk | meta-GGA SCAN | PBEsol geometry
data_Ba5Sc6O14
_space_group_name_H-M_alt 'C m c 21'
_space_group_IT_number 36
_cell_length_a 12.9106
_cell_length_b 12.1223
_cell_length_c 11.6178
_cell_angle_alpha 90.00
_cell_angle_beta 90.00
_cell_angle_gamma 90.00
loop_
_space_group_symop_operation_xyz
'x,y,z'
'-x,-y,z+1/2'
'-x,y,z'
'x,-y,z+1/2'
'x+1/2,y+1/2,z'
'-x+1/2,-y+1/2,z+1/2'
'-x+1/2,y+1/2,z'
'x+1/2,-y+1/2,z+1/2'
loop_
_atom_site_label
_atom_site_type_symbol
_atom_site_fract_x
_atom_site_fract_y
_atom_site_fract_z
_atom_site_occupancy
Ba1 Ba 0.0000 0.0200 0.0000 1
Ba2 Ba 0.1402 0.3274 0.9536 1
Ba3 Ba 0.1562 0.3758 0.5237 1
Sc1 Sc 0.0000 0.2018 0.7056 1
Sc2 Sc 0.0000 0.4857 0.2319 1
Sc3 Sc 0.1410 0.1488 0.2663 1
Sc4 Sc 0.2424 0.0992 0.7339 1
O1 O 0.0000 0.1300 0.3255 1
O2 O 0.0000 0.1951 0.8714 1
O3 O 0.0000 0.3614 0.6722 1
O4 O 0.0000 0.4971 0.3997 1
O5 O 0.1280 0.1473 0.6297 1
O6 O 0.1286 0.4362 0.1493 1
O7 O 0.1558 0.1465 0.0993 1
O8 O 0.2168 0.2773 0.3350 1
O9 O 0.2226 0.0270 0.3392 1
# Total energy (Ry/atom): -1.336



(2)
# Na2BPt2 | Alexandria via LeMat-Bulk | meta-GGA SCAN | PBEsol geometry
data_Na2BPt2
_space_group_name_H-M_alt 'P 4/m b m'
_space_group_IT_number 127
_space_group_name_Hall '-P 4 2ab'
_cell_length_a 5.6209
_cell_length_b 5.6209
_cell_length_c 5.0302
_cell_angle_alpha 90.00
_cell_angle_beta 90.00
_cell_angle_gamma 90.00
loop_
_atom_site_label
_atom_site_type_symbol
_atom_site_fract_x
_atom_site_fract_y
_atom_site_fract_z
_atom_site_occupancy
Na1 Na 0.1710 0.3290 0.0000 1
B1 B 0.0000 0.0000 0.5000 1
Pt1 Pt 0.1653 0.6653 0.5000 1
# DFT formation energy (eV per atom): -0.477
# Total energy (Ry/atom): -2.332



(3)
# CdAgHg2 | Alexandria via LeMat-Bulk | meta-GGA SCAN | PBEsol geometry
data_CdAgHg2
_space_group_name_H-M_alt 'C m m m'
_space_group_IT_number 65
_space_group_name_Hall '-C 2 2'
_cell_length_a 3.0090
_cell_length_b 5.3013
_cell_length_c 10.3033
_cell_angle_alpha 90.00
_cell_angle_beta 90.00
_cell_angle_gamma 90.00
loop_
_atom_site_label
_atom_site_type_symbol
_atom_site_fract_x
_atom_site_fract_y
_atom_site_fract_z
_atom_site_occupancy
Cd1 Cd 0.0000 0.0000 0.0000 1
Ag1 Ag 0.0000 0.0000 0.5000 1
Hg1 Hg 0.0000 0.5000 0.2630 1
# DFT formation energy (eV per atom): 0.083
# Total energy (Ry/atom): -3.634



(4)
# La3YRh | Alexandria via LeMat-Bulk | meta-GGA SCAN | PBEsol geometry
data_La3YRh
_space_group_name_H-M_alt 'P m -3 m'
_space_group_IT_number 221
_space_group_name_Hall '-P 4 2 3'
_cell_length_a 5.4773
_cell_length_b 5.4773
_cell_length_c 5.4773
_cell_angle_alpha 90.00
_cell_angle_beta 90.00
_cell_angle_gamma 90.00
loop_
_atom_site_label
_atom_site_type_symbol
_atom_site_fract_x
_atom_site_fract_y
_atom_site_fract_z
_atom_site_occupancy
La1 La 0.0000 0.0000 0.5000 1
Y1 Y 0.0000 0.0000 0.0000 1
Rh1 Rh 0.5000 0.5000 0.5000 1
# DFT formation energy (eV per atom): 1.103
# Total energy (Ry/atom): -2.726



Q: Look up the total energy of the fourth one.
A: -2.726 Ry/atom